The following is a DFT calculation (PBEsol) of crystalline HoAu6 at its relaxed geometry.

Computed properties:
Energy relative to the elements (eV per formula unit): -3.0
N(E_F) (states/eV/cell): 18.48

a = 10.261 Å, b = 10.261 Å, c = 9.710 Å
α = 90.00°, β = 90.00°, γ = 90.00°
Element x y z (fractional)
Ho 0.074 0.074 0.212
Ho 0.074 0.426 0.712
Ho 0.426 0.074 0.712
Ho 0.426 0.426 0.212
Ho 0.574 0.574 0.788
Ho 0.574 0.926 0.288
Ho 0.926 0.574 0.288
Ho 0.926 0.926 0.788
Au 0.000 0.000 0.500
Au 0.000 0.500 0.000
Au 0.014 0.680 0.578
Au 0.014 0.820 0.078
Au 0.122 0.699 0.854
Au 0.122 0.801 0.354
Au 0.149 0.149 0.679
Au 0.149 0.351 0.179
Au 0.180 0.514 0.422
Au 0.180 0.986 0.922
Au 0.199 0.622 0.146
Au 0.199 0.878 0.646
Au 0.250 0.250 0.432
Au 0.250 0.250 0.932
Au 0.301 0.622 0.646
Au 0.301 0.878 0.146
Au 0.320 0.514 0.922
Au 0.320 0.986 0.422
Au 0.351 0.149 0.179
Au 0.351 0.351 0.679
Au 0.378 0.699 0.354
Au 0.378 0.801 0.854
Au 0.486 0.680 0.078
Au 0.486 0.820 0.578
Au 0.500 0.000 0.000
Au 0.500 0.500 0.500
Au 0.514 0.180 0.422
Au 0.514 0.320 0.922
Au 0.622 0.199 0.146
Au 0.622 0.301 0.646
Au 0.649 0.649 0.321
Au 0.649 0.851 0.821
Au 0.680 0.014 0.578
Au 0.680 0.486 0.078
Au 0.699 0.122 0.854
Au 0.699 0.378 0.354
Au 0.750 0.750 0.068
Au 0.750 0.750 0.568
Au 0.801 0.122 0.354
Au 0.801 0.378 0.854
Au 0.820 0.014 0.078
Au 0.820 0.486 0.578
Au 0.851 0.649 0.821
Au 0.851 0.851 0.321
Au 0.878 0.199 0.646
Au 0.878 0.301 0.146
Au 0.986 0.180 0.922
Au 0.986 0.320 0.422